! GGA-PBE Zr2Sc3Cd, relaxed; values from VASP
&SYSTEM
  ibrav = 0, nat = 6, ntyp = 3
/
ATOMIC_SPECIES
Zr 91.22 Zr.upf
Sc 44.96 Sc.upf
Cd 112.41 Cd.upf
CELL_PARAMETERS angstrom
3.249 0.000 0.000
0.000 3.249 0.000
0.000 0.000 13.135
ATOMIC_POSITIONS angstrom
Zr 0.000 0.000 2.285
Zr 0.000 0.000 10.850
Sc 1.624 1.624 0.000
Sc 1.624 1.624 4.439
Sc 1.624 1.624 8.696
Cd 0.000 0.000 6.568
! Total moment = 0.0 μB per cell
! Fermi-level density of states = 7.03 states/eV/f.u.
! ΔH_f (0 K) = -109 meV per atom